Entry 1:
# Pm3Pr8Mg (PBE-GGA, relaxed)
# formation energy = 0.130 eV per atom
# ρ = 6.20 g/cm3
# total energy = -4.3770 eV/atom
data_Pm3Pr8Mg
_cell_length_a 20.001
_cell_length_b 3.541
_cell_length_c 12.452
_cell_angle_alpha 90.00
_cell_angle_beta 105.64
_cell_angle_gamma 90.00
_symmetry_space_group_name_H-M 'C 1 m 1'
_symmetry_Int_Tables_number 8
_symmetry_space_group_name_Hall 'C -2y'
loop_
_atom_site_label
_atom_site_type_symbol
_atom_site_fract_x
_atom_site_fract_y
_atom_site_fract_z
Pm1 Pm 0.000 0.000 0.000
Pm2 Pm 0.054 0.000 0.746
Pm3 Pm 0.245 0.000 0.525
Pr1 Pr 0.078 0.500 0.496
Pr2 Pr 0.131 0.000 0.261
Pr3 Pr 0.176 0.000 0.009
Pr4 Pr 0.223 0.500 0.772
Pr5 Pr 0.347 0.000 0.009
Pr6 Pr 0.394 0.000 0.756
Pr7 Pr 0.403 0.500 0.498
Pr8 Pr 0.455 0.500 0.254
Mg1 Mg 0.302 0.000 0.267


Entry 2:
# V3GeB (PBE-GGA, relaxed)
# formation energy = -0.225 eV per atom
# ρ = 6.31 g/cm3
# total energy = -7.9548 eV/atom
data_V3GeB
_cell_length_a 5.5758
_cell_length_b 5.5758
_cell_length_c 4.6184
_cell_angle_alpha 90.00
_cell_angle_beta 90.00
_cell_angle_gamma 120.00
_symmetry_space_group_name_H-M 'P 63/m m c'
_symmetry_Int_Tables_number 194
_symmetry_space_group_name_Hall '-P 6c 2c'
loop_
_atom_site_label
_atom_site_type_symbol
_atom_site_fract_x
_atom_site_fract_y
_atom_site_fract_z
V1 V 0.1790 0.3580 0.2500
Ge1 Ge 0.3333 0.6667 0.7500
B1 B 0.0000 0.0000 0.0000


Entry 3:
# ZnGa3S (PBE-GGA, relaxed)
# formation energy from raw total energies = 2.0 eV/f.u.
# ρ = 4.04 g/cm3
# total energy = -2.4908 eV/atom
data_ZnGa3S
_cell_length_a 5.013
_cell_length_b 5.013
_cell_length_c 5.013
_cell_angle_alpha 90.00
_cell_angle_beta 90.00
_cell_angle_gamma 90.00
_symmetry_space_group_name_H-M 'P m -3 m'
_symmetry_Int_Tables_number 221
_symmetry_space_group_name_Hall '-P 4 2 3'
loop_
_atom_site_label
_atom_site_type_symbol
_atom_site_fract_x
_atom_site_fract_y
_atom_site_fract_z
Zn1 Zn 0.000 0.000 0.000
Ga1 Ga 0.000 0.500 0.500
S1 S 0.500 0.500 0.500


Entry 4:
# ScPCl (PBE-GGA, relaxed)
# formation energy from raw total energies = -3.1 eV/f.u.
# ρ = 2.55 g/cm3
# total energy = -5.5657 eV/atom
data_ScPCl
_cell_length_a 3.4915
_cell_length_b 3.4915
_cell_length_c 6.8740
_cell_angle_alpha 90.00
_cell_angle_beta 90.00
_cell_angle_gamma 120.00
_symmetry_space_group_name_H-M 'P 3 m 1'
_symmetry_Int_Tables_number 156
_symmetry_space_group_name_Hall 'P 3 -2"'
loop_
_atom_site_label
_atom_site_type_symbol
_atom_site_fract_x
_atom_site_fract_y
_atom_site_fract_z
Sc1 Sc 0.0000 0.0000 0.0000
P1 P 0.3333 0.6667 0.7533
Cl1 Cl 0.6667 0.3333 0.2359


Entry 5:
# K4TeN2 (PBE-GGA, relaxed)
# formation energy from raw total energies = 2.6 eV/f.u.
# ρ = 2.14 g/cm3
# total energy = -3.0897 eV/atom
data_K4TeN2
_cell_length_a 10.078
_cell_length_b 10.078
_cell_length_c 9.541
_cell_angle_alpha 90.00
_cell_angle_beta 90.00
_cell_angle_gamma 90.00
_symmetry_space_group_name_H-M 'I -4 2 d'
_symmetry_Int_Tables_number 122
_symmetry_space_group_name_Hall 'I -4 2bw'
loop_
_atom_site_label
_atom_site_type_symbol
_atom_site_fract_x
_atom_site_fract_y
_atom_site_fract_z
K1 K 0.001 0.170 0.335
Te1 Te 0.000 0.000 0.000
N1 N 0.000 0.250 0.625


Entry 6:
# PuCuIr (PBE-GGA, relaxed)
# formation energy = -0.042 eV per atom
# ρ = 15.45 g/cm3
# total energy = -9.1382 eV/atom
data_PuCuIr
_cell_length_a 3.325
_cell_length_b 3.325
_cell_length_c 9.717
_cell_angle_alpha 90.00
_cell_angle_beta 90.00
_cell_angle_gamma 90.00
_symmetry_space_group_name_H-M 'I 4 m m'
_symmetry_Int_Tables_number 107
_symmetry_space_group_name_Hall 'I 4 -2'
loop_
_atom_site_label
_atom_site_type_symbol
_atom_site_fract_x
_atom_site_fract_y
_atom_site_fract_z
Pu1 Pu 0.000 0.000 0.000
Cu1 Cu 0.000 0.000 0.699
Ir1 Ir 0.000 0.000 0.317


Result set for size of the total moment: 0.00 0.00 0.00 0.00 4.00 5.21 μB/f.u., one per record in the order listed.